The following is a PBE+U calculation of crystalline TaZnCrO6 at its relaxed geometry, from the Alexandria database.

abc: 4.6553 4.6553 9.1565
angles: 90.00 90.00 90.00
Closest atoms and distances in Å follow each position.
Fractional coordinates of all 18 atoms:
Zn: 0.0000 0.0000 0.0041  6 O 2.05-2.21
O: 0.1882 0.8118 0.4947  1 Cr 1.91, 1 Ta 1.99, 1 Zn 2.05
O: 0.7020 0.7020 0.6811  1 Cr 1.95, 1 Ta 1.97, 1 Zn 2.10
O: 0.8118 0.1882 0.4947  1 Cr 1.91, 1 Ta 1.99, 1 Zn 2.05
Ta: 0.0000 0.0000 0.6652  6 O 1.97-2.04
O: 0.2798 0.2798 0.3214  1 Cr 1.85, 1 Ta 2.04
Ta: 0.5000 0.5000 0.1652  6 O 1.97-2.04
O: 0.7798 0.2202 0.8214  1 Cr 1.85, 1 Ta 2.04
Zn: 0.5000 0.5000 0.5041  6 O 2.05-2.21
O: 0.2020 0.7980 0.1811  1 Cr 1.95, 1 Ta 1.97, 1 Zn 2.10
Cr: 0.0000 0.0000 0.3361  6 O 1.85-1.95
O: 0.7202 0.7202 0.3214  1 Cr 1.85, 1 Ta 2.04
O: 0.7980 0.2020 0.1811  1 Cr 1.95, 1 Ta 1.97, 1 Zn 2.10
O: 0.2980 0.2980 0.6811  1 Cr 1.95, 1 Ta 1.97, 1 Zn 2.10
O: 0.6882 0.6882 0.9947  1 Cr 1.91, 1 Ta 1.99, 1 Zn 2.05
O: 0.2202 0.7798 0.8214  1 Cr 1.85, 1 Ta 2.04
O: 0.3118 0.3118 0.9947  1 Cr 1.91, 1 Ta 1.99, 1 Zn 2.05
Cr: 0.5000 0.5000 0.8361  6 O 1.85-1.95

Properties
VASP energy	-7.4289	eV per atom
volume	99	Å³/f.u.